## i
A relaxed structure of NaTa. Source: Alexandria via LeMat-Bulk, functional PBE.

Results
space group = P2_12_12_1 (19)

Cell: 6.1015 6.1237 9.0753 Å, 90.00 90.00 90.00°
Element x y z (fractional)
Na (0.0502, 0.0356, 0.2489)
Na (0.2404, 0.1973, 0.5128)
Na (0.2596, 0.8027, 0.0128)
Na (0.4498, 0.9644, 0.7489)
Na (0.5502, 0.4644, 0.7511)
Na (0.7404, 0.3027, 0.4872)
Na (0.7596, 0.6973, 0.9872)
Na (0.9498, 0.5356, 0.2511)
Ta (0.0541, 0.5760, 0.7163)
Ta (0.1763, 0.3052, 0.9654)
Ta (0.3237, 0.6948, 0.4654)
Ta (0.4459, 0.4240, 0.2163)
Ta (0.5541, 0.9240, 0.2837)
Ta (0.6763, 0.1948, 0.0346)
Ta (0.8237, 0.8052, 0.5346)
Ta (0.9459, 0.0760, 0.7837)


## ii
A relaxed structure of NaTa. Source: Alexandria via LeMat-Bulk, functional PBE.

Results
space group = Fm-3m (225)

Cell: 3.9426 3.9426 3.9426 Å, 60.00 60.00 60.00°
Element x y z (fractional)
Na (0.0000, 0.0000, 0.0000)
Ta (0.5000, 0.5000, 0.5000)


Decreasing stability: i, ii


## i
A relaxed structure of NaTa. Source: Alexandria via LeMat-Bulk, functional PBE.

Results
space group = P4_2/mnm (136)

Cell: 5.6842 5.6842 6.0111 Å, 90.00 90.00 90.00°
Element x y z (fractional)
Na (0.1584, 0.1584, 0.0000)
Na (0.3416, 0.6584, 0.5000)
Na (0.6584, 0.3416, 0.5000)
Na (0.8416, 0.8416, 0.0000)
Ta (0.1477, 0.1477, 0.5000)
Ta (0.3523, 0.6477, 0.0000)
Ta (0.6477, 0.3523, 0.0000)
Ta (0.8523, 0.8523, 0.5000)


## ii
A relaxed structure of NaTa. Source: Alexandria via LeMat-Bulk, functional PBE.

Results
space group = Cmmm (65)

Cell: 2.7651 2.7651 5.9517 Å, 90.00 90.00 111.95°
Element x y z (fractional)
Na (0.0000, 0.0000, 0.0000)
Ta (0.5000, 0.5000, 0.5000)


## iii
A relaxed structure of NaTa. Source: Alexandria via LeMat-Bulk, functional PBE.

Results
space group = I4/m (87)

Cell: 9.7679 9.7679 9.7679 Å, 91.19 91.19 163.46°
Element x y z (fractional)
Na (0.0456, 0.3259, 0.3715)
Na (0.3259, 0.9544, 0.2804)
Na (0.6741, 0.0456, 0.7196)
Na (0.9544, 0.6741, 0.6285)
Ta (0.1757, 0.7749, 0.9506)
Ta (0.2251, 0.1757, 0.4009)
Ta (0.7749, 0.8243, 0.5991)
Ta (0.8243, 0.2251, 0.0494)


Decreasing stability: ii, iii, i


## i
A relaxed structure of Na2TaTe4. Source: Alexandria via LeMat-Bulk, functional PBE.

Results
space group = I4/mmm (139)

Cell: 8.8014 8.8014 8.8014 Å, 143.46 143.46 52.63°
Element x y z (fractional)
Na (0.1320, 0.1320, 0.0000)
Na (0.8680, 0.8680, 0.0000)
Ta (0.5000, 0.5000, 0.0000)
Te (0.0000, 0.5000, 0.5000)
Te (0.3260, 0.3260, 0.0000)
Te (0.5000, 0.0000, 0.5000)
Te (0.6740, 0.6740, 0.0000)


## ii
A relaxed structure of Na2TaTe4. Source: Alexandria via LeMat-Bulk, functional PBE.

Results
space group = C2/m (12)

Cell: 7.9179 7.9179 7.4585 Å, 111.84 111.84 29.66°
Element x y z (fractional)
Na (0.2130, 0.2130, 0.1919)
Na (0.7870, 0.7870, 0.8081)
Ta (0.5000, 0.5000, 0.5000)
Te (0.1326, 0.1326, 0.5241)
Te (0.4321, 0.4321, 0.0978)
Te (0.5679, 0.5679, 0.9022)
Te (0.8674, 0.8674, 0.4759)


Decreasing stability: ii, i


## i
A relaxed structure of NaTa3Te. Source: Alexandria via LeMat-Bulk, functional PBE.

Results
space group = Pm-3m (221)

Cell: 4.7580 4.7580 4.7580 Å, 90.00 90.00 90.00°
Element x y z (fractional)
Na (0.0000, 0.0000, 0.0000)
Ta (0.0000, 0.0000, 0.5000)
Ta (0.0000, 0.5000, 0.0000)
Ta (0.5000, 0.0000, 0.0000)
Te (0.5000, 0.5000, 0.5000)


## ii
A relaxed structure of NaTa3Te. Source: Alexandria via LeMat-Bulk, functional PBE.

Results
space group = Pm-3m (221)

Cell: 5.0936 5.0936 5.0936 Å, 90.00 90.00 90.00°
Element x y z (fractional)
Na (0.0000, 0.0000, 0.0000)
Ta (0.0000, 0.5000, 0.5000)
Ta (0.5000, 0.0000, 0.5000)
Ta (0.5000, 0.5000, 0.0000)
Te (0.5000, 0.5000, 0.5000)


Decreasing stability: ii, i


## i
A relaxed structure of Na2Ta2Ti. Source: Alexandria via LeMat-Bulk, functional PBE.

Results
space group = I4/mmm (139)

Cell: 8.5595 8.5595 8.5595 Å, 155.82 155.82 34.46°
Element x y z (fractional)
Na (0.2500, 0.7500, 0.5000)
Na (0.7500, 0.2500, 0.5000)
Ta (0.0785, 0.0785, 0.0000)
Ta (0.9215, 0.9215, 0.0000)
Ti (0.5000, 0.5000, 0.0000)


## ii
A relaxed structure of Na2Ta2Ti. Source: Alexandria via LeMat-Bulk, functional PBE.

Results
space group = P4/mbm (127)

Cell: 8.8583 8.8583 2.7733 Å, 90.00 90.00 90.00°
Element x y z (fractional)
Na (0.1930, 0.3070, 0.0000)
Na (0.3070, 0.8070, 0.0000)
Na (0.6930, 0.1930, 0.0000)
Na (0.8070, 0.6930, 0.0000)
Ta (0.1022, 0.6022, 0.5000)
Ta (0.3978, 0.1022, 0.5000)
Ta (0.6022, 0.8978, 0.5000)
Ta (0.8978, 0.3978, 0.5000)
Ti (0.0000, 0.0000, 0.5000)
Ti (0.5000, 0.5000, 0.5000)


Decreasing stability: i, ii


## i
A relaxed structure of NaTaTi2. Source: Alexandria via LeMat-Bulk, functional PBE.

Results
space group = Fm-3m (225)

Cell: 4.7015 4.7015 4.7015 Å, 60.00 60.00 60.00°
Element x y z (fractional)
Na (0.0000, 0.0000, 0.0000)
Ta (0.5000, 0.5000, 0.5000)
Ti (0.2500, 0.2500, 0.2500)
Ti (0.7500, 0.7500, 0.7500)


## ii
A relaxed structure of NaTaTi2. Source: Alexandria via LeMat-Bulk, functional PBE.

Results
space group = I-42d (122)

Cell: 9.9770 9.9770 9.9770 Å, 156.65 156.65 33.26°
Element x y z (fractional)
Na (0.0000, 0.0000, 0.0000)
Na (0.7500, 0.2500, 0.5000)
Ta (0.2500, 0.7500, 0.5000)
Ta (0.5000, 0.5000, 0.0000)
Ti (0.1491, 0.6250, 0.0241)
Ti (0.3750, 0.3991, 0.5241)
Ti (0.6009, 0.1250, 0.9759)
Ti (0.8750, 0.8509, 0.4759)


Decreasing stability: i, ii